[1]
Entry from Alexandria via LeMat-Bulk: a geometry-optimized PuSc5Sn3 structure (GGA-PBE).

Computed properties:
- ΔH_f (0 K): -549.1 meV/atom

Cell lengths 8.801, 8.801, 6.184 Å; angles 90.00, 90.00, 120.00 degrees
Positions (direct):
1 Pu 0.000 0.000 0.000
2 Pu 0.000 0.000 0.500
3 Sc 0.000 0.322 0.250
4 Sc 0.000 0.678 0.750
5 Sc 0.322 0.000 0.250
6 Sc 0.322 0.322 0.750
7 Sc 0.333 0.667 0.000
8 Sc 0.333 0.667 0.500
9 Sc 0.667 0.333 0.000
10 Sc 0.667 0.333 0.500
11 Sc 0.678 0.000 0.750
12 Sc 0.678 0.678 0.250
13 Sn 0.000 0.348 0.750
14 Sn 0.000 0.652 0.250
15 Sn 0.348 0.000 0.750
16 Sn 0.348 0.348 0.250
17 Sn 0.652 0.000 0.250
18 Sn 0.652 0.652 0.750

---

[2]
Entry from Alexandria via LeMat-Bulk: a geometry-optimized W5Au structure (GGA-PBE).

Computed properties:
- ΔH_f (0 K): 423.0 meV/atom
- Energy above the lowest structure with this stoichiometry: 0.16 eV/f.u.

Cell lengths 4.729, 7.925, 7.925 Å; angles 19.47, 90.00, 90.00 degrees
Positions (direct):
1 W 0.000 0.000 0.000
2 W 0.000 0.332 0.332
3 W 0.000 0.666 0.666
4 W 0.500 0.233 0.233
5 W 0.500 0.565 0.565
6 Au 0.500 0.896 0.896

---

[3]
Entry from Alexandria via LeMat-Bulk: a geometry-optimized La2Pm5NdDy structure (GGA-PBE).

Computed properties:
- ΔH_f (0 K): 238.8 meV/atom

Cell lengths 8.782, 8.782, 8.236 Å; angles 90.00, 90.00, 90.00 degrees
Positions (direct):
1 La 0.119 0.381 0.000
2 La 0.381 0.881 0.000
3 La 0.619 0.119 0.000
4 La 0.881 0.619 0.000
5 Pm 0.000 0.000 0.000
6 Pm 0.217 0.717 0.282
7 Pm 0.217 0.717 0.718
8 Pm 0.283 0.217 0.282
9 Pm 0.283 0.217 0.718
10 Pm 0.500 0.500 0.000
11 Pm 0.717 0.783 0.282
12 Pm 0.717 0.783 0.718
13 Pm 0.783 0.283 0.282
14 Pm 0.783 0.283 0.718
15 Nd 0.000 0.000 0.500
16 Nd 0.500 0.500 0.500
17 Dy 0.000 0.500 0.500
18 Dy 0.500 0.000 0.500

---

[4]
Entry from Alexandria via LeMat-Bulk: a geometry-optimized In6Hg5Pb2 structure (GGA-PBE).

Computed properties:
- ΔH_f (0 K): 26.6 meV/atom

Cell lengths 3.416, 17.093, 12.514 Å; angles 90.00, 98.93, 90.00 degrees
Positions (direct):
1 In 0.001 0.094 0.301
2 In 0.001 0.406 0.801
3 In 0.436 0.081 0.065
4 In 0.436 0.419 0.565
5 In 0.473 0.619 0.875
6 In 0.473 0.881 0.375
7 In 0.527 0.119 0.625
8 In 0.527 0.381 0.125
9 In 0.564 0.581 0.435
10 In 0.564 0.919 0.935
11 In 0.999 0.594 0.199
12 In 0.999 0.906 0.699
13 Hg 0.000 0.000 0.500
14 Hg 0.000 0.500 0.000
15 Hg 0.001 0.732 0.393
16 Hg 0.001 0.768 0.893
17 Hg 0.017 0.565 0.665
18 Hg 0.017 0.935 0.165
19 Hg 0.983 0.065 0.835
20 Hg 0.983 0.435 0.335
21 Hg 0.999 0.232 0.107
22 Hg 0.999 0.268 0.607
23 Pb 0.486 0.239 0.861
24 Pb 0.486 0.261 0.361
25 Pb 0.514 0.739 0.639
26 Pb 0.514 0.761 0.139

---

[5]
Entry from Alexandria via LeMat-Bulk: a geometry-optimized CuWS2N structure (GGA-PBE).

Computed properties:
- Formation energy without anion corrections: 0.366 eV/atom
- Energy above the lowest structure with this stoichiometry: 0.00 eV/f.u.

Cell lengths 4.795, 4.795, 3.798 Å; angles 90.00, 90.00, 90.00 degrees
Positions (direct):
1 Cu 0.000 0.000 0.000
2 W 0.500 0.500 0.500
3 S 0.000 0.500 0.500
4 S 0.500 0.000 0.500
5 N 0.500 0.500 0.000

---

[6]
Entry from Alexandria via LeMat-Bulk: a geometry-optimized BaLi2TlCd4 structure (GGA-PBE).

Computed properties:
- ΔH_f (0 K): -183.1 meV/atom

Cell lengths 11.026, 11.026, 11.026 Å; angles 25.44, 25.44, 25.44 degrees
Positions (direct):
1 Ba 0.000 0.000 0.000
2 Li 0.226 0.226 0.226
3 Li 0.774 0.774 0.774
4 Tl 0.500 0.500 0.500
5 Cd 0.117 0.117 0.117
6 Cd 0.404 0.404 0.404
7 Cd 0.596 0.596 0.596
8 Cd 0.883 0.883 0.883

---

[7]
Entry from Alexandria via LeMat-Bulk: a geometry-optimized MgCuW structure (GGA-PBE).

Computed properties:
- ΔH_f (0 K): 1455.6 meV/atom
- Energy above the lowest structure with this stoichiometry: 3.53 eV/f.u.

Cell lengths 4.313, 4.313, 4.313 Å; angles 60.00, 60.00, 60.00 degrees
Positions (direct):
1 Mg 0.000 0.000 0.000
2 Cu 0.500 0.500 0.500
3 W 0.750 0.750 0.750

---

[8]
Entry from Alexandria via LeMat-Bulk: a geometry-optimized Zr3SbO structure (GGA-PBE).

Computed properties:
- Formation energy without anion corrections: -1.170 eV/atom
- Energy above the lowest structure with this stoichiometry: 0.00 eV/f.u.

Cell lengths 4.512, 4.512, 4.512 Å; angles 90.00, 90.00, 90.00 degrees
Positions (direct):
1 Zr 0.000 0.000 0.500
2 Zr 0.000 0.500 0.000
3 Zr 0.500 0.000 0.000
4 Sb 0.500 0.500 0.500
5 O 0.000 0.000 0.000

---

[9]
Entry from Alexandria via LeMat-Bulk: a geometry-optimized SiB2Se6 structure (GGA-PBE).

Computed properties:
- Formation energy without anion corrections: -0.055 eV/atom

Cell lengths 8.546, 8.546, 6.084 Å; angles 106.33, 106.33, 85.52 degrees
Positions (direct):
1 Si 0.221 0.779 0.750
2 Si 0.779 0.221 0.250
3 B 0.177 0.326 0.612
4 B 0.326 0.177 0.112
5 B 0.674 0.823 0.888
6 B 0.823 0.674 0.388
7 Se 0.025 0.797 0.410
8 Se 0.164 0.552 0.857
9 Se 0.203 0.975 0.090
10 Se 0.227 0.375 0.324
11 Se 0.375 0.227 0.824
12 Se 0.448 0.836 0.643
13 Se 0.552 0.164 0.357
14 Se 0.625 0.773 0.176
15 Se 0.773 0.625 0.676
16 Se 0.797 0.025 0.910
17 Se 0.836 0.448 0.143
18 Se 0.975 0.203 0.590

---

[10]
Entry from Alexandria via LeMat-Bulk: a geometry-optimized TlNi2Pt structure (GGA-PBE).

Computed properties:
- ΔH_f (0 K): 340.8 meV/atom
- Energy above the lowest structure with this stoichiometry: 0.98 eV/f.u.

Cell lengths 8.503, 8.503, 8.503 Å; angles 19.87, 19.87, 19.87 degrees
Positions (direct):
1 Tl 0.000 0.000 0.000
2 Ni 0.247 0.247 0.247
3 Ni 0.753 0.753 0.753
4 Pt 0.500 0.500 0.500

---

[11]
Entry from Alexandria via LeMat-Bulk: a geometry-optimized Ac6PdAu2 structure (GGA-PBE).

Computed properties:
- ΔH_f (0 K): -514.6 meV/atom

Cell lengths 7.292, 8.042, 13.013 Å; angles 90.00, 119.86, 90.00 degrees
Positions (direct):
1 Ac 0.100 0.043 0.257
2 Ac 0.100 0.457 0.757
3 Ac 0.238 0.673 0.071
4 Ac 0.238 0.827 0.571
5 Ac 0.397 0.196 0.069
6 Ac 0.397 0.304 0.569
7 Ac 0.603 0.696 0.431
8 Ac 0.603 0.804 0.931
9 Ac 0.762 0.173 0.429
10 Ac 0.762 0.327 0.929
11 Ac 0.900 0.543 0.243
12 Ac 0.900 0.957 0.743
13 Pd 0.000 0.000 0.000
14 Pd 0.000 0.500 0.500
15 Au 0.335 0.113 0.773
16 Au 0.335 0.387 0.273
17 Au 0.665 0.613 0.727
18 Au 0.665 0.887 0.227

---

[12]
Entry from Alexandria via LeMat-Bulk: a geometry-optimized Li2VBiTe structure (GGA-PBE).

Computed properties:
- Formation energy without anion corrections: 0.202 eV/atom

Cell lengths 5.075, 5.075, 5.273 Å; angles 90.00, 90.00, 90.00 degrees
Positions (direct):
1 Li 0.000 0.500 0.000
2 Li 0.500 0.000 0.000
3 V 0.000 0.000 0.500
4 Bi 0.000 0.000 0.000
5 Te 0.500 0.500 0.500

---

Number 1: raw total energy -0.257 Ha/atom. Number 2: raw total energy -0.401 Ha/atom. Number 3: raw total energy -0.167 Ha/atom. Number 4: raw total energy -0.071 Ha/atom. Number 5: raw total energy -0.234 Ha/atom. Number 6: raw total energy -0.061 Ha/atom. Number 7: raw total energy -0.175 Ha/atom. Number 8: raw total energy -0.298 Ha/atom. Number 9: raw total energy -0.164 Ha/atom. Number 10: raw total energy -0.171 Ha/atom. Number 11: raw total energy -0.168 Ha/atom. Number 12: raw total energy -0.139 Ha/atom.